! Ba2CoIO6 | the Alexandria database | GGA+U | optimized geometry; values from VASP
! **Density of states at the Fermi level**: 2.1 states/eV per cell
! **Total energy**: -5.58 eV per atom
&SYSTEM
  ibrav = 0, nat = 10, ntyp = 4
/
ATOMIC_SPECIES
Ba 137.33 Ba.upf
Co 58.93 Co.upf
I 126.90 I.upf
O 16.00 O.upf
ATOMIC_POSITIONS angstrom
Ba -5.798 3.727 -0.126
Ba -6.737 -0.023 1.420
Co 0.000 0.000 0.000
I -4.015 0.680 -0.827
O -4.255 1.490 1.010
O -5.970 1.011 -1.228
O -8.980 1.200 2.867
O -3.555 2.503 -1.573
O -6.565 2.692 2.523
O -8.281 2.213 0.284
CELL_PARAMETERS angstrom
-3.072 4.425 -2.362
-4.959 -3.065 0.707
-4.505 2.343 2.949